# 1
First-principles (GGA-PBE) data for a geometry-optimized Sr2GePtAu6 structure, as listed in the Alexandria database.

a = 5.635 Å, b = 6.905 Å, c = 7.333 Å
α = 84.21°, β = 67.49°, γ = 66.00°
Space group P-1 (No. 2)
Asymmetric unit:
Sr: 0.036 0.239 0.185
Ge: 0.500 0.000 0.500
Pt: 0.500 0.500 0.000
Au: 0.008 0.235 0.740
Au: 0.361 0.389 0.385
Au: 0.485 0.764 0.260

Values from the calculation:
E_form (meV/atom): -454


# 2
First-principles (GGA-PBE) data for a geometry-optimized TcGe2PtAu structure, as listed in the Alexandria database.

a = 4.714 Å, b = 4.714 Å, c = 5.191 Å
α = 90.00°, β = 90.00°, γ = 90.00°
Space group P4/mmm (No. 123)
Asymmetric unit:
Tc: 0.000 0.000 0.000
Ge: 0.000 0.500 0.500
Pt: 0.500 0.500 0.500
Au: 0.500 0.500 0.000

Values from the calculation:
E_form (meV/atom): 930


# 3
First-principles (GGA-PBE) data for a geometry-optimized GeTePtAu2 structure, as listed in the Alexandria database.

a = 5.068 Å, b = 5.068 Å, c = 5.581 Å
α = 90.00°, β = 90.00°, γ = 90.00°
Space group P4/mmm (No. 123)
Asymmetric unit:
Ge: 0.000 0.000 0.000
Te: 0.000 0.000 0.500
Pt: 0.500 0.500 0.000
Au: 0.000 0.500 0.500

Values from the calculation:
Formation energy (no corrections) (eV per formula unit): 5.53


# 4
First-principles (GGA-PBE) data for a geometry-optimized Th2Ge3Pt4Au structure, as listed in the Alexandria database.

a = 4.248 Å, b = 4.248 Å, c = 10.965 Å
α = 90.00°, β = 90.00°, γ = 90.00°
Space group P-4m2 (No. 115)
Asymmetric unit:
Th: 0.000 0.500 0.249
Ge: 0.000 0.500 0.875
Ge: 0.500 0.500 0.500
Pt: 0.000 0.000 0.000
Pt: 0.000 0.500 0.655
Pt: 0.500 0.500 0.000
Au: 0.000 0.000 0.500

Values from the calculation:
E_form (meV/atom): -827


# 5
First-principles (GGA-PBE) data for a geometry-optimized TlGePtAu2 structure, as listed in the Alexandria database.

a = 5.317 Å, b = 5.317 Å, c = 4.601 Å
α = 90.00°, β = 90.00°, γ = 90.00°
Space group P4/mmm (No. 123)
Asymmetric unit:
Tl: 0.000 0.000 0.000
Ge: 0.500 0.500 0.000
Pt: 0.500 0.500 0.500
Au: 0.000 0.500 0.500

Values from the calculation:
E_form (meV/atom): 110


# 6
First-principles (GGA-PBE) data for a geometry-optimized U2Ge4Pt3Au structure, as listed in the Alexandria database.

a = 4.310 Å, b = 4.310 Å, c = 10.309 Å
α = 90.00°, β = 90.00°, γ = 90.00°
Space group P-4m2 (No. 115)
Asymmetric unit:
U: 0.000 0.500 0.248
Ge: 0.000 0.000 0.000
Ge: 0.000 0.500 0.639
Ge: 0.500 0.500 0.000
Pt: 0.000 0.500 0.874
Pt: 0.500 0.500 0.500
Au: 0.000 0.000 0.500

Values from the calculation:
E_form (meV/atom): -456


# 7
First-principles (GGA-PBE) data for a geometry-optimized U2Ge3Pt4Au structure, as listed in the Alexandria database.

a = 4.043 Å, b = 4.043 Å, c = 11.665 Å
α = 90.00°, β = 90.00°, γ = 90.00°
Space group P-4m2 (No. 115)
Asymmetric unit:
U: 0.000 0.500 0.249
Ge: 0.000 0.500 0.871
Ge: 0.500 0.500 0.500
Pt: 0.000 0.000 0.000
Pt: 0.000 0.500 0.663
Pt: 0.500 0.500 0.000
Au: 0.000 0.000 0.500

Values from the calculation:
E_form (meV/atom): -483


# 8
First-principles (GGA-PBE) data for a geometry-optimized GePtW2Au structure, as listed in the Alexandria database.

a = 4.906 Å, b = 4.906 Å, c = 4.567 Å
α = 90.00°, β = 90.00°, γ = 90.00°
Space group P4/mmm (No. 123)
Asymmetric unit:
Ge: 0.000 0.000 0.000
Pt: 0.000 0.000 0.500
W: 0.000 0.500 0.500
Au: 0.500 0.500 0.000

Values from the calculation:
E_form (meV/atom): 1749